Entry 1:
Density functional theory data (GGA-PBE) for Ce3ZnSi6Rh2 after structural relaxation.

Summary:
The calculation puts the energy at -0.21816 Ha/atom.

Unit cell a=5.3550 b=5.3550 c=9.1338 alpha=90.00 beta=90.00 gamma=120.00
Last column: nearest neighbours and their distance in Å.
Fractional positions:
Ce  0.0000  0.0000  0.0000  6 Si 2.98, 6 Rh 3.15
Ce  0.3333  0.6667  0.5800  9 Si 2.99-3.16, 3 Zn 3.18
Ce  0.6667  0.3333  0.4200  9 Si 2.99-3.16, 3 Zn 3.18
Zn  0.0000  0.0000  0.5000  6 Si 2.61
Si  0.1728  0.3456  0.2749  1 Rh 2.41, 2 Si 2.58, 1 Zn 2.61
Si  0.1728  0.8272  0.2749  1 Rh 2.41, 2 Si 2.58, 1 Zn 2.61
Si  0.3456  0.1728  0.7251  1 Rh 2.41, 2 Si 2.58, 1 Zn 2.61
Si  0.6544  0.8272  0.2749  1 Rh 2.41, 2 Si 2.58, 1 Zn 2.61
Si  0.8272  0.1728  0.7251  1 Rh 2.41, 2 Si 2.58, 1 Zn 2.61
Si  0.8272  0.6544  0.7251  1 Rh 2.41, 2 Si 2.58, 1 Zn 2.61
Rh  0.3333  0.6667  0.0680  3 Si 2.41
Rh  0.6667  0.3333  0.9320  3 Si 2.41

=====

Entry 2:
Density functional theory data (GGA-PBE) for Ce2ReC2 after structural relaxation.

Summary:
The calculation puts the energy at -0.32514 Ha/atom. The energy relative to the lowest polymorph listed for this composition is 0.0000 eV per atom. As for the formation energy: -0.295 eV per atom.

Unit cell a=6.5605 b=5.2592 c=9.9997 alpha=90.00 beta=90.00 gamma=90.00
Last column: nearest neighbours and their distance in Å.
Fractional positions:
Ce  0.0250  0.2500  0.2247  4 C 2.59-2.64
Ce  0.1942  0.2500  0.5464  5 C 2.57-2.67
Ce  0.3058  0.7500  0.0464  5 C 2.57-2.67
Ce  0.4750  0.7500  0.7247  4 C 2.59-2.64
Ce  0.5250  0.2500  0.2753  4 C 2.59-2.64
Ce  0.6942  0.2500  0.9536  5 C 2.57-2.67
Ce  0.8058  0.7500  0.4536  5 C 2.57-2.67
Ce  0.9750  0.7500  0.7753  4 C 2.59-2.64
Re  0.2268  0.2500  0.8629  3 C 1.97-2.02
Re  0.2732  0.7500  0.3629  3 C 1.97-2.02
Re  0.7268  0.2500  0.6371  3 C 1.97-2.02
Re  0.7732  0.7500  0.1371  3 C 1.97-2.02
C  0.0336  0.7500  0.2444  2 Re 1.97-2.02
C  0.1717  0.7500  0.5510  1 Re 2.00
C  0.3283  0.2500  0.0510  1 Re 2.00
C  0.4664  0.2500  0.7444  2 Re 1.97-2.02
C  0.5336  0.7500  0.2556  2 Re 1.97-2.02
C  0.6717  0.7500  0.9490  1 Re 2.00
C  0.8283  0.2500  0.4490  1 Re 2.00
C  0.9664  0.2500  0.7556  2 Re 1.97-2.02

=====

Entry 3:
Density functional theory data (GGA-PBE) for Al3TcPb after structural relaxation.

Summary:
The calculation puts the energy at -0.17923 Ha/atom. The energy relative to the lowest polymorph listed for this composition is 0.0000 eV per atom. As for the formation energy: 0.183 eV per atom.

Unit cell a=4.8242 b=4.8242 c=4.8242 alpha=90.00 beta=90.00 gamma=90.00
Last column: nearest neighbours and their distance in Å.
Fractional positions:
Al  0.0000  0.0000  0.5000  2 Tc 2.41
Al  0.0000  0.5000  0.0000  2 Tc 2.41
Al  0.5000  0.0000  0.0000  2 Tc 2.41
Tc  0.0000  0.0000  0.0000  6 Al 2.41
Pb  0.5000  0.5000  0.5000  12 Al 3.41

=====

Entry 4:
Density functional theory data (GGA-PBE) for Na3PdS2 after structural relaxation.

Summary:
The calculation puts the energy at -0.13254 Ha/atom.

Unit cell a=8.1525 b=8.1525 c=8.1525 alpha=136.28 beta=61.29 gamma=139.26
Last column: nearest neighbours and their distance in Å.
Fractional positions:
Na  0.1793  0.7153  0.8946  4 S 2.83-2.96
Na  0.2500  0.2500  0.0000  4 S 2.74, 2 Na 2.84, 2 Pd 3.04
Na  0.3207  0.2153  0.5360  4 S 2.83-2.96
Na  0.6793  0.7847  0.4640  4 S 2.83-2.96
Na  0.7500  0.7500  0.0000  4 S 2.74, 2 Na 2.84, 2 Pd 3.04
Na  0.8207  0.2847  0.1054  4 S 2.83-2.96
Pd  0.2500  0.7500  0.5000  4 S 2.62, 2 Pd 2.84
Pd  0.7500  0.2500  0.5000  4 S 2.62, 2 Pd 2.84
S  0.1203  0.2668  0.3871  2 Pd 2.62, 4 Na 2.74-2.85
S  0.3797  0.7668  0.1465  2 Pd 2.62, 4 Na 2.74-2.85
S  0.6203  0.2332  0.8535  2 Pd 2.62, 4 Na 2.74-2.85
S  0.8797  0.7332  0.6129  2 Pd 2.62, 4 Na 2.74-2.85

=====

Entry 5:
Density functional theory data (GGA-PBE) for Bi3Au2 after structural relaxation.

Summary:
The calculation puts the energy at -0.13430 Ha/atom. The energy relative to the lowest polymorph listed for this composition is 0.0000 eV per atom. As for the formation energy: -0.015 eV per atom.

Unit cell a=7.6058 b=4.4983 c=8.7631 alpha=90.00 beta=102.24 gamma=90.00
Last column: nearest neighbours and their distance in Å.
Fractional positions:
Bi  0.0561  0.2500  0.3083  4 Au 2.85-3.09
Bi  0.2867  0.2500  0.0282  3 Au 2.90
Bi  0.4437  0.2500  0.6469  5 Au 2.98-3.00
Bi  0.5563  0.7500  0.3531  5 Au 2.98-3.00
Bi  0.7133  0.7500  0.9718  3 Au 2.90
Bi  0.9439  0.7500  0.6917  4 Au 2.85-3.09
Au  0.2229  0.7500  0.4812  6 Bi 2.85-3.09, 1 Au 3.01
Au  0.3323  0.7500  0.8321  6 Bi 2.90-3.00, 1 Au 3.01
Au  0.6677  0.2500  0.1679  6 Bi 2.90-3.00, 1 Au 3.01
Au  0.7771  0.2500  0.5188  6 Bi 2.85-3.09, 1 Au 3.01

=====

Entry 6:
Density functional theory data (GGA-PBE) for BaMo2Pb after structural relaxation.

Summary:
The calculation puts the energy at -0.23638 Ha/atom. As for the formation energy: 0.391 eV per atom.

Unit cell a=3.3919 b=3.3919 c=8.5962 alpha=90.00 beta=90.00 gamma=90.00
Last column: nearest neighbours and their distance in Å.
Fractional positions:
Ba  0.0000  0.0000  0.0000  4 Ba 3.39, 5 Mo 3.55-3.73, 4 Pb 3.73
Mo  0.0000  0.0000  0.4334  4 Mo 2.64
Mo  0.5000  0.5000  0.3040  4 Mo 2.64
Pb  0.5000  0.5000  0.6677  5 Mo 3.13, 4 Pb 3.39

=====

The records above give, respectively, total magnetization values of 0.046, 0.012, 0.000, 2.075, 0.000, 0.296 Bohr magnetons per cell.